Entry 1:
Compound: TmZr3Tl3Te8
Source: Alexandria
Functional: PBE-GGA
Structure: optimized geometry

Results
Spin magnetization in μB per atom: 0.0000
E_form (uncorrected) in eV/atom: -0.79

a b c (Å): 8.276 8.268 9.674
angles (deg): 115.21 90.01 120.02
Sites, in units of the cell vectors:
Tl: 0.500 0.500 0.000
Te: 0.264 0.528 0.292
Zr: 0.000 0.500 0.500
Te: 0.273 0.031 0.289
Te: 0.758 0.031 0.289
Tm: 0.000 0.000 0.500
Te: 0.758 0.516 0.289
Zr: 0.500 0.000 0.500
Tl: 0.000 0.000 0.000
Te: 0.242 0.969 0.711
Te: 0.736 0.472 0.708
Zr: 0.500 0.500 0.500
Te: 0.727 0.969 0.711
Te: 0.242 0.484 0.711
Tl: 0.000 0.500 0.000


Entry 2:
Compound: La2HgN
Source: Alexandria
Functional: PBE-GGA
Structure: optimized geometry

Results
Spin magnetization in μB per atom: 0.0000
E_form (uncorrected) in eV/atom: 0.10

a b c (Å): 5.127 5.127 5.127
angles (deg): 60.00 60.00 60.00
Sites, in units of the cell vectors:
Hg: 0.500 0.500 0.500
La: 0.750 0.750 0.750
La: 0.250 0.250 0.250
N: 0.000 0.000 0.000


Entry 3:
Compound: LaEu2Zn
Source: Alexandria
Functional: PBE-GGA
Structure: optimized geometry

Results
Spin magnetization in μB per atom: 3.6244
Formation enthalpy at 0 K in eV/atom: -0.09

a b c (Å): 3.744 3.744 9.382
angles (deg): 90.00 90.00 90.00
Sites, in units of the cell vectors:
Eu: 0.000 0.000 0.196
Zn: 0.500 0.500 0.000
La: 0.500 0.500 0.500
Eu: 0.000 0.000 0.804


Entry 4:
Compound: Cd3P
Source: Alexandria
Functional: PBE-GGA
Structure: optimized geometry

Results
Spin magnetization in μB per atom: 0.0000
Formation enthalpy at 0 K in eV/atom: 0.24

a b c (Å): 5.589 5.589 5.589
angles (deg): 90.00 90.00 90.00
Sites, in units of the cell vectors:
Cd: 0.250 0.500 0.000
Cd: 0.000 0.250 0.500
P: 0.500 0.500 0.500
Cd: 0.000 0.750 0.500
Cd: 0.500 0.000 0.750
P: 0.000 0.000 0.000
Cd: 0.500 0.000 0.250
Cd: 0.750 0.500 0.000


Entry 5:
Compound: LiRe2Ge
Source: Alexandria
Functional: PBE-GGA
Structure: optimized geometry

Results
Spin magnetization in μB per atom: 0.0000
Formation enthalpy at 0 K in eV/atom: 0.47

a b c (Å): 4.255 4.255 4.255
angles (deg): 60.00 60.00 60.00
Sites, in units of the cell vectors:
Ge: 0.500 0.500 0.500
Li: 0.000 0.000 0.000
Re: 0.750 0.750 0.750
Re: 0.250 0.250 0.250


Entry 6:
Compound: Ba2LaBiW
Source: Alexandria
Functional: PBE-GGA
Structure: optimized geometry

Results
Spin magnetization in μB per atom: 0.2214
Formation enthalpy at 0 K in eV/atom: 0.78

a b c (Å): 6.005 6.005 5.478
angles (deg): 90.00 90.00 90.00
Sites, in units of the cell vectors:
Bi: 0.000 0.000 0.500
La: 0.500 0.500 0.500
Ba: 0.500 0.000 0.000
W: 0.000 0.000 0.000
Ba: 0.000 0.500 0.000